WCl4, optimized geometry, DFT PBE; D(E_F) = 0.65 states/eV/atom; uncorrected formation energy = -0.130 eV per atom; V = 21.283 A^3/atom
1.0
4.739 0.000 0.000
0.000 4.739 0.000
0.000 0.000 4.739
W Cl
1 4
direct
0.000 0.000 0.000
0.000 0.000 0.500
0.000 0.500 0.000
0.500 0.000 0.000
0.500 0.500 0.500

W7Cl, optimized geometry, DFT PBE; D(E_F) = 0.54 states/eV/atom; uncorrected formation energy = 0.929 eV per atom; V = 16.487 A^3/atom
1.0
0.000 4.040 4.040
4.040 0.000 4.040
4.040 4.040 0.000
W Cl
7 1
direct
0.000 0.000 0.000
0.000 0.000 0.500
0.000 0.500 0.000
0.000 0.500 0.500
0.500 0.000 0.000
0.500 0.000 0.500
0.500 0.500 0.000
0.500 0.500 0.500

WCl3, optimized geometry, DFT PBE; distance to the lowest polymorph of the same formula = 1.805 eV/atom; D(E_F) = 1.12 states/eV/atom; uncorrected formation energy = 1.022 eV per atom; V = 18.424 A^3/atom
1.0
4.745 0.000 0.000
0.000 4.745 0.000
0.000 0.000 3.273
W Cl
1 3
direct
0.000 0.000 0.000
0.000 0.500 0.500
0.500 0.000 0.500
0.500 0.500 0.000

WCl4, optimized geometry, DFT PBE; D(E_F) = 0.59 states/eV/atom; uncorrected formation energy = 0.651 eV per atom; V = 24.382 A^3/atom
1.0
-1.684 1.684 10.742
1.684 -1.684 10.742
1.684 1.684 -10.742
W Cl
1 4
direct
0.000 0.000 0.000
0.250 0.750 0.500
0.433 0.433 0.000
0.567 0.567 0.000
0.750 0.250 0.500

W2Cl, optimized geometry, DFT PBE; distance to the lowest polymorph of the same formula = 0.124 eV/atom; D(E_F) = 0.74 states/eV/atom; uncorrected formation energy = 0.281 eV per atom; V = 21.232 A^3/atom
1.0
1.614 -8.922 0.000
1.614 8.922 0.000
0.000 0.000 4.424
W Cl
4 2
direct
0.053 0.947 0.750
0.436 0.564 0.750
0.564 0.436 0.250
0.947 0.053 0.250
0.332 0.668 0.250
0.668 0.332 0.750

W4Cl3, optimized geometry, DFT PBE; D(E_F) = 1.03 states/eV/atom; uncorrected formation energy = 1.698 eV per atom; V = 16.661 A^3/atom
1.0
5.205 0.000 0.000
-2.602 4.508 0.000
0.000 0.000 4.971
W Cl
4 3
direct
0.000 0.000 0.230
0.000 0.000 0.770
0.333 0.667 0.000
0.667 0.333 0.000
0.000 0.500 0.500
0.500 0.000 0.500
0.500 0.500 0.500

WCl3, optimized geometry, DFT PBE; distance to the lowest polymorph of the same formula = 0.593 eV/atom; D(E_F) = 0.71 states/eV/atom; uncorrected formation energy = -0.190 eV per atom; V = 22.751 A^3/atom
1.0
-4.359 4.359 2.394
4.359 -4.359 2.394
4.359 4.359 -2.394
W Cl
2 6
direct
0.000 0.000 0.000
0.750 0.250 0.500
0.250 0.750 0.500
0.375 0.231 0.356
0.500 0.500 0.000
0.769 0.125 0.144
0.875 0.019 0.644
0.981 0.625 0.856

W3Cl5, optimized geometry, DFT PBE; distance to the lowest polymorph of the same formula = 0.454 eV/atom; D(E_F) = 0.96 states/eV/atom; uncorrected formation energy = 0.986 eV per atom; V = 18.360 A^3/atom
1.0
7.999 0.000 0.000
-3.999 6.927 0.000
0.000 0.000 5.302
W Cl
6 10
direct
0.000 0.435 0.250
0.000 0.565 0.750
0.435 0.000 0.250
0.435 0.435 0.750
0.565 0.000 0.750
0.565 0.565 0.250
0.000 0.263 0.750
0.000 0.737 0.250
0.263 0.000 0.750
0.263 0.263 0.250
0.333 0.667 0.000
0.333 0.667 0.500
0.667 0.333 0.000
0.667 0.333 0.500
0.737 0.000 0.250
0.737 0.737 0.750

WCl3, optimized geometry, DFT PBE; distance to the lowest polymorph of the same formula = 0.564 eV/atom; D(E_F) = 0.61 states/eV/atom; uncorrected formation energy = -0.218 eV per atom; V = 24.091 A^3/atom
1.0
-1.501 2.332 6.883
1.501 -2.332 6.883
1.501 2.332 -6.883
W Cl
1 3
direct
0.000 0.000 0.000
0.140 0.640 0.500
0.500 0.500 0.000
0.860 0.360 0.500

WCl3, optimized geometry, DFT PBE; distance to the lowest polymorph of the same formula = 0.336 eV/atom; D(E_F) = 0.59 states/eV/atom; uncorrected formation energy = -0.447 eV per atom; V = 29.160 A^3/atom
1.0
4.895 0.000 0.000
0.000 3.636 0.000
-2.438 0.000 6.554
W Cl
1 3
direct
0.000 0.000 0.000
0.126 0.500 0.253
0.500 0.000 0.000
0.874 0.500 0.747

W2Cl, optimized geometry, DFT PBE; distance to the lowest polymorph of the same formula = 0.215 eV/atom; D(E_F) = 0.26 states/eV/atom; uncorrected formation energy = 0.371 eV per atom; V = 25.594 A^3/atom
1.0
8.762 -1.576 0.000
8.762 1.576 0.000
-0.245 0.000 5.560
W Cl
4 2
direct
0.190 0.190 0.364
0.217 0.217 0.822
0.783 0.783 0.178
0.810 0.810 0.636
0.419 0.419 0.745
0.581 0.581 0.255

WCl3, optimized geometry, DFT PBE; distance to the lowest polymorph of the same formula = 0.867 eV/atom; D(E_F) = 0.65 states/eV/atom; uncorrected formation energy = 0.085 eV per atom; V = 22.571 A^3/atom
1.0
1.436 -2.995 0.000
1.436 2.995 0.000
0.000 0.000 10.497
W Cl
1 3
direct
0.000 0.000 0.000
0.000 0.000 0.500
0.500 0.500 0.185
0.500 0.500 0.815

For reference, VASP energy by record: -20.99, -85.09, -14.40, -17.09, -53.82, -45.47, -38.51, -80.41, -19.37, -20.28, -53.28, -18.15 eV/cell.